An optimized crystal structure of SrCoAs2, computed with PBE.

a = 5.0611 Å, b = 5.0611 Å, c = 15.1137 Å
α = 90.00°, β = 90.00°, γ = 90.00°
Closest atoms and distances in Å follow each position.
Space group I-42d (No. 122)
Asymmetric unit:
1 Sr 0.0000 0.0000 0.0000  4 As 3.15
2 Co 0.0000 0.0000 0.5000  4 As 2.30
3 As 0.0687 0.2500 0.6250  2 Co 2.30

* raw total energy: -4.92 eV/atom

=====

An optimized crystal structure of Sr3CoAs, computed with PBE.

a = 5.4219 Å, b = 5.4219 Å, c = 5.4219 Å
α = 90.00°, β = 90.00°, γ = 90.00°
Closest atoms and distances in Å follow each position.
Space group Pm-3m (No. 221)
Asymmetric unit:
1 Sr 0.0000 0.0000 0.5000  2 Co 2.71
2 Co 0.0000 0.0000 0.0000  6 Sr 2.71
3 As 0.5000 0.5000 0.5000  12 Sr 3.83

* raw total energy: -3.37 eV/atom

=====

An optimized crystal structure of SrCoAs, computed with PBE.

a = 3.3511 Å, b = 3.3511 Å, c = 10.8318 Å
α = 90.00°, β = 90.00°, γ = 90.00°
Closest atoms and distances in Å follow each position.
Space group I4mm (No. 107)
Asymmetric unit:
1 Sr 0.0000 0.0000 0.0000  5 Co 3.06-3.34, 5 As 3.11-3.31, 4 Sr 3.35
2 Co 0.0000 0.0000 0.2823  4 As 2.49
3 As 0.0000 0.0000 0.7128  4 Co 2.49

* raw total energy: -4.64 eV/atom

=====

An optimized crystal structure of SrCoAs2, computed with PBE.

a = 3.9447 Å, b = 6.1743 Å, c = 7.3185 Å
α = 90.00°, β = 90.00°, γ = 90.00°
Closest atoms and distances in Å follow each position.
Space group Immm (No. 71)
Asymmetric unit:
1 Sr 0.0000 0.0000 0.0000  8 As 3.10-3.34
2 Co 0.0000 0.0000 0.5000  4 As 2.34
3 As 0.0000 0.5000 0.1726  2 Co 2.34, 1 As 2.53

* raw total energy: -4.93 eV/atom

=====

An optimized crystal structure of SrCoAs2, computed with PBE.

a = 4.8100 Å, b = 3.9076 Å, c = 4.8270 Å
α = 90.00°, β = 101.45°, γ = 90.00°
Closest atoms and distances in Å follow each position.
Space group P2/m (No. 10)
Asymmetric unit:
1 Sr 0.0000 0.0000 0.0000  2 Co 3.05, 4 As 3.16
2 Co 0.5000 0.0000 0.5000  4 As 2.35
3 As 0.3838 0.5000 0.7224  2 Co 2.35, 1 As 2.61

* raw total energy: -5.00 eV/atom

=====

An optimized crystal structure of SrTl2CoAs, computed with PBE.

a = 6.1281 Å, b = 6.1281 Å, c = 4.8953 Å
α = 90.00°, β = 90.00°, γ = 90.00°
Closest atoms and distances in Å follow each position.
Space group P4/mmm (No. 123)
Asymmetric unit:
1 Sr 0.0000 0.0000 0.0000  2 Co 2.45
2 Tl 0.0000 0.5000 0.0000  2 Sr 3.06
3 Co 0.0000 0.0000 0.5000  2 Sr 2.45
4 As 0.5000 0.5000 0.5000  8 Tl 3.92, 4 Co 4.33

* raw total energy: -2.37 eV/atom

=====

Question: raw total energy of number 5 (SrCoAs2)?
Answer: -5.00 eV/atom